[1]
A geometry-optimized PrMg2Ag7 structure. Source: the Alexandria database, functional PBE-GGA.

It has space group Cmmm (No. 65), with a = 6.7073 Å, b = 16.9896 Å, c = 4.0952 Å, α = 90.00°, β = 90.00° and γ = 90.00°. The inequivalent atoms are Pr at (0.0000, 0.0000, 0.0000), Mg at (0.0000, 0.2608, 0.5000), Ag at (0.0000, 0.3831, 0.0000), Ag at (0.0000, 0.5000, 0.5000) and Ag at (0.2066, 0.1204, 0.5000).

The calculated formation energy is 0.0191 eV/atom.

[2]
A geometry-optimized PrMg2Ag4 structure. Source: the Alexandria database, functional PBE-GGA.

It has space group I4/mmm (No. 139), with a = 7.2137 Å, b = 7.2137 Å, c = 5.6481 Å, α = 90.00°, β = 90.00° and γ = 90.00°. The inequivalent atoms are Pr at (0.0000, 0.0000, 0.0000), Mg at (0.0000, 0.5000, 0.2500) and Ag at (0.1950, 0.1950, 0.5000).

The calculated formation energy is -0.2699 eV/atom.

[3]
A geometry-optimized PrMg2Ag structure. Source: the Alexandria database, functional PBE-GGA.

It has space group Fm-3m (No. 225), with a = 7.2100 Å, b = 7.2100 Å, c = 7.2100 Å, α = 90.00°, β = 90.00° and γ = 90.00°. The inequivalent atoms are Pr at (0.0000, 0.0000, 0.0000), Mg at (0.2500, 0.2500, 0.2500) and Ag at (0.0000, 0.0000, 0.5000).

The calculated formation energy is -0.1166 eV/atom.

| no. | VASP energy (eV per formula unit) |
| --- | --- |
| 1 | -27.736 |
| 2 | -21.263 |
| 3 | -11.286 |